# Dy5ZnIr4 | Alexandria | PBE | optimized geometry
data_Dy5ZnIr4
_chemical_formula_sum 'Dy5 Zn1 Ir4'
_cell_length_a 3.4670
_cell_length_b 3.4670
_cell_length_c 17.2601
_cell_angle_alpha 90.00
_cell_angle_beta 90.00
_cell_angle_gamma 90.00
_space_group_name_H-M_alt 'P 1'
_space_group_IT_number 1
loop_
_space_group_symop_operation_xyz
'x,y,z'
loop_
_atom_site_label
_atom_site_fract_x
_atom_site_fract_y
_atom_site_fract_z
Dy1 0.0000 0.0000 0.0000
Dy2 0.0000 0.0000 0.1958
Dy3 0.0000 0.0000 0.3892
Dy4 0.0000 0.0000 0.6108
Dy5 0.0000 0.0000 0.8042
Zn1 0.5000 0.5000 0.5000
Ir1 0.5000 0.5000 0.0986
Ir2 0.5000 0.5000 0.2971
Ir3 0.5000 0.5000 0.7029
Ir4 0.5000 0.5000 0.9014
# ΔH_f (0 K)   -0.73 eV per atom
# Symmetry   No. 123
# Fermi-level density of states   0.84 states/eV/atom
# V   20.747 Å³/atom
# Theoretical density   13.18 g/cm3